[1]
Below is a relaxed structure of MnAlRh, with properties calculated at the PBE level.

POSCAR file:
```
MnAlRh
1.0
-3.6499 -2.8308 -1.1788
-0.1383 -2.5067 -4.0524
2.5858 0.9216 3.8973
Mn Rh Al
1 1 1
Direct
0.3319 0.3319 0.0000 Mn
0.6615 0.6615 0.0000 Rh
0.0064 0.0064 0.0000 Al
```

Properties
Calculated formation energy   -0.45 eV per atom
Symmetry   No. 44

***

[2]
Below is a relaxed structure of MnAlRh2, with properties calculated at the PBE level.

POSCAR file:
```
MnAlRh2
1.0
-1.4094 3.1921 3.3651
-2.3961 -1.9176 3.7525
4.1584 -0.9768 -2.2920
Mn Rh Al
1 2 1
Direct
0.7500 0.2500 0.5000 Mn
0.0000 0.0000 0.0000 Rh
0.2500 0.7500 0.5000 Rh
0.5000 0.5000 0.0000 Al
```

Properties
Calculated formation energy   -0.47 eV per atom
Symmetry   No. 119

***

[3]
Below is a relaxed structure of MnAlRh2, with properties calculated at the PBE level.

POSCAR file:
```
MnAlRh2
1.0
-3.3606 2.5907 0.8285
-3.1015 -1.2867 2.7234
-0.3830 1.8702 3.8791
Mn Rh Al
1 2 1
Direct
0.7500 0.7500 0.7500 Mn
0.0000 0.0000 0.0000 Rh
0.2500 0.2500 0.2500 Rh
0.5000 0.5000 0.5000 Al
```

Properties
Calculated formation energy   -0.24 eV per atom
Symmetry   No. 216

***

[4]
Below is a relaxed structure of Mn3Al12Rh5, with properties calculated at the PBE level.

POSCAR file:
```
Mn3Al12Rh5
1.0
12.4695 0.0000 0.0000
-4.1565 11.7564 0.0000
-4.1565 -5.8782 10.1813
Mn Rh Al
12 20 48
Direct
0.7500 0.3750 0.1250 Mn
0.8750 0.7500 0.1250 Mn
0.3750 0.7500 0.6250 Mn
0.2500 0.1250 0.3750 Mn
0.8750 0.1250 0.2500 Mn
0.3750 0.6250 0.2500 Mn
0.6250 0.3750 0.7500 Mn
0.1250 0.8750 0.7500 Mn
0.7500 0.8750 0.6250 Mn
0.6250 0.2500 0.3750 Mn
0.1250 0.2500 0.8750 Mn
0.2500 0.6250 0.8750 Mn
0.1250 0.3750 0.2500 Rh
0.0000 0.5000 0.0000 Rh
0.0000 0.0000 0.0000 Rh
0.3750 0.2500 0.1250 Rh
0.5000 0.0000 0.5000 Rh
0.5000 0.5000 0.0000 Rh
0.1250 0.7500 0.3750 Rh
0.7500 0.1250 0.8750 Rh
0.7500 0.6250 0.3750 Rh
0.3750 0.1250 0.7500 Rh
0.6250 0.8750 0.2500 Rh
0.5000 0.5000 0.5000 Rh
0.5000 0.0000 0.0000 Rh
0.0000 0.0000 0.5000 Rh
0.2500 0.3750 0.6250 Rh
0.2500 0.8750 0.1250 Rh
0.0000 0.5000 0.5000 Rh
0.8750 0.2500 0.6250 Rh
0.6250 0.7500 0.8750 Rh
0.8750 0.6250 0.7500 Rh
0.7265 0.1328 0.0583 Al
0.3318 0.5583 0.4256 Al
0.9417 0.3672 0.2735 Al
0.5583 0.2265 0.1328 Al
0.5938 0.7265 0.6682 Al
0.9417 0.5744 0.1682 Al
0.3318 0.7735 0.4062 Al
0.0744 0.9062 0.1328 Al
0.5744 0.9417 0.6682 Al
0.7265 0.5938 0.1682 Al
0.7735 0.4417 0.3672 Al
0.8318 0.9256 0.0583 Al
0.1328 0.7265 0.5583 Al
0.3672 0.4256 0.0938 Al
0.0938 0.9256 0.3672 Al
0.4062 0.1328 0.5744 Al
0.0938 0.1682 0.2265 Al
0.4417 0.6682 0.0744 Al
0.8318 0.9062 0.2735 Al
0.1328 0.4062 0.0744 Al
0.3672 0.9417 0.7735 Al
0.5744 0.6328 0.4062 Al
0.9256 0.8318 0.5583 Al
0.7735 0.3318 0.9062 Al
0.4256 0.3672 0.5938 Al
0.0744 0.1682 0.4417 Al
0.2265 0.6682 0.0938 Al
0.1682 0.0938 0.7265 Al
0.6328 0.0583 0.2265 Al
0.8672 0.5938 0.9256 Al
0.5583 0.3318 0.9256 Al
0.5938 0.8672 0.4256 Al
0.9062 0.8318 0.7735 Al
0.9062 0.0744 0.6328 Al
0.8672 0.2735 0.4417 Al
0.1682 0.0744 0.9417 Al
0.6328 0.5744 0.9062 Al
0.4256 0.0583 0.3318 Al
0.2735 0.4062 0.8318 Al
0.2265 0.5583 0.6328 Al
0.9256 0.0938 0.8672 Al
0.6682 0.2265 0.5938 Al
0.4417 0.7735 0.8672 Al
0.0583 0.4256 0.8318 Al
0.4062 0.2735 0.3318 Al
0.0583 0.6328 0.7265 Al
0.6682 0.4417 0.5744 Al
0.2735 0.8672 0.9417 Al
```

Properties
Calculated formation energy   0.08 eV per atom
Symmetry   No. 230

***

[5]
Below is a relaxed structure of MnAlRh2, with properties calculated at the PBE level.

POSCAR file:
```
MnAlRh2
1.0
2.7851 0.0000 0.0000
0.0000 2.7851 0.0000
0.0000 0.0000 6.8547
Mn Rh Al
1 2 1
Direct
0.5000 0.5000 0.7468 Mn
0.0000 0.0000 0.9788 Rh
0.5000 0.5000 0.2713 Rh
0.0000 0.0000 0.5030 Al
```

Properties
Calculated formation energy   -0.30 eV per atom
Symmetry   No. 99

***

[6]
Below is a relaxed structure of MnAlRh, with properties calculated at the PBE level.

POSCAR file:
```
MnAlRh
1.0
4.1720 0.0000 0.0000
2.0860 3.6130 0.0000
2.0860 1.2043 3.4064
Mn Rh Al
1 1 1
Direct
0.5000 0.5000 0.5000 Mn
0.7500 0.7500 0.7500 Rh
0.0000 0.0000 0.0000 Al
```

Properties
Calculated formation energy   -0.19 eV per atom
Symmetry   No. 216

***

| no. | size of the total moment (μB per formula unit) |
| --- | --- |
| 1 | 3.9 |
| 2 | 3.2 |
| 3 | 4.2 |
| 4 | 7.9 |
| 5 | 0.9 |
| 6 | 4.1 |